No. 1
# NaPHO2 | Alexandria via LeMat-Bulk | PBE-GGA | relaxed
# energy above the lowest structure with this stoichiometry	1314	meV/atom
data_NaPHO2
_chemical_formula_sum 'Na1 P1 H1 O2'
_symmetry_space_group_name_H-M 'P 1'
_symmetry_Int_Tables_number 1
_cell_length_a 4.2313
_cell_length_b 4.2313
_cell_length_c 5.5821
_cell_angle_alpha 90.00
_cell_angle_beta 90.00
_cell_angle_gamma 90.00
loop_
_symmetry_equiv_pos_as_xyz
'x,y,z'
loop_
_atom_site_label
_atom_site_type_symbol
_atom_site_fract_x
_atom_site_fract_y
_atom_site_fract_z
_atom_site_occupancy
Na1 Na 0.0000 0.0000 0.0000 1
P1 P 0.0000 0.0000 0.5000 1
H1 H 0.5000 0.5000 0.5000 1
O1 O 0.0000 0.5000 0.0000 1
O2 O 0.5000 0.0000 0.0000 1

No. 2
# Na2P3HO9 | Alexandria via LeMat-Bulk | PBE-GGA | relaxed
# energy above the lowest structure with this stoichiometry	5	meV/atom
data_Na2P3HO9
_chemical_formula_sum 'Na4 P6 H2 O18'
_symmetry_space_group_name_H-M 'P 1'
_symmetry_Int_Tables_number 1
_cell_length_a 6.7654
_cell_length_b 7.2490
_cell_length_c 7.8763
_cell_angle_alpha 86.92
_cell_angle_beta 77.67
_cell_angle_gamma 89.89
loop_
_symmetry_equiv_pos_as_xyz
'x,y,z'
loop_
_atom_site_label
_atom_site_type_symbol
_atom_site_fract_x
_atom_site_fract_y
_atom_site_fract_z
_atom_site_occupancy
Na1 Na 0.0830 0.1435 0.1542 1
Na2 Na 0.4121 0.8458 0.8548 1
Na3 Na 0.5879 0.1542 0.1452 1
Na4 Na 0.9170 0.8565 0.8458 1
P1 P 0.0416 0.6642 0.2246 1
P2 P 0.2689 0.8609 0.4476 1
P3 P 0.4016 0.3380 0.7760 1
P4 P 0.5984 0.6620 0.2240 1
P5 P 0.7311 0.1391 0.5524 1
P6 P 0.9584 0.3358 0.7754 1
H1 H 0.3080 0.4768 0.1888 1
H2 H 0.6920 0.5232 0.8112 1
O1 O 0.0894 0.8095 0.0796 1
O2 O 0.0928 0.7256 0.4017 1
O3 O 0.1455 0.4752 0.1870 1
O4 O 0.1918 0.3886 0.7161 1
O5 O 0.2171 0.8735 0.6402 1
O6 O 0.2944 0.0291 0.3269 1
O7 O 0.3728 0.1884 0.9181 1
O8 O 0.4699 0.7328 0.4048 1
O9 O 0.4914 0.5216 0.8058 1
O10 O 0.5086 0.4784 0.1942 1
O11 O 0.5301 0.2672 0.5952 1
O12 O 0.6272 0.8116 0.0819 1
O13 O 0.7056 0.9709 0.6731 1
O14 O 0.7829 0.1265 0.3598 1
O15 O 0.8082 0.6114 0.2839 1
O16 O 0.8545 0.5248 0.8130 1
O17 O 0.9072 0.2744 0.5983 1
O18 O 0.9106 0.1905 0.9204 1

No. 3
# NaPH2O4 | Alexandria via LeMat-Bulk | PBE-GGA | relaxed
# energy above the lowest structure with this stoichiometry	0	meV/atom
data_NaPH2O4
_chemical_formula_sum 'Na8 P8 H16 O32'
_symmetry_space_group_name_H-M 'P 1'
_symmetry_Int_Tables_number 1
_cell_length_a 6.8849
_cell_length_b 13.4835
_cell_length_c 7.6021
_cell_angle_alpha 90.00
_cell_angle_beta 93.87
_cell_angle_gamma 90.00
loop_
_symmetry_equiv_pos_as_xyz
'x,y,z'
loop_
_atom_site_label
_atom_site_type_symbol
_atom_site_fract_x
_atom_site_fract_y
_atom_site_fract_z
_atom_site_occupancy
Na1 Na 0.1348 0.1004 0.2373 1
Na2 Na 0.1348 0.3996 0.7373 1
Na3 Na 0.3610 0.6004 0.0092 1
Na4 Na 0.3610 0.8996 0.5092 1
Na5 Na 0.6390 0.1004 0.4908 1
Na6 Na 0.6390 0.3996 0.9908 1
Na7 Na 0.8652 0.6004 0.2627 1
Na8 Na 0.8652 0.8996 0.7627 1
P1 P 0.1695 0.1328 0.6361 1
P2 P 0.1695 0.3672 0.1361 1
P3 P 0.3221 0.6261 0.5225 1
P4 P 0.3221 0.8739 0.0225 1
P5 P 0.6779 0.1261 0.9775 1
P6 P 0.6779 0.3739 0.4775 1
P7 P 0.8305 0.6328 0.8639 1
P8 P 0.8305 0.8672 0.3639 1
H1 H 0.0127 0.0968 0.8683 1
H2 H 0.0127 0.4032 0.3683 1
H3 H 0.0501 0.7390 0.9866 1
H4 H 0.0501 0.7610 0.4866 1
H5 H 0.4451 0.2216 0.8374 1
H6 H 0.4451 0.2784 0.3374 1
H7 H 0.4981 0.0335 0.1499 1
H8 H 0.4981 0.4665 0.6499 1
H9 H 0.5019 0.5335 0.3501 1
H10 H 0.5019 0.9665 0.8501 1
H11 H 0.5549 0.7216 0.6626 1
H12 H 0.5549 0.7784 0.1626 1
H13 H 0.9499 0.2390 0.5134 1
H14 H 0.9499 0.2610 0.0134 1
H15 H 0.9873 0.5968 0.6317 1
H16 H 0.9873 0.9032 0.1317 1
O1 O 0.0207 0.6640 0.9874 1
O2 O 0.0207 0.8360 0.4874 1
O3 O 0.0866 0.0591 0.7783 1
O4 O 0.0866 0.4409 0.2783 1
O5 O 0.1055 0.6515 0.4830 1
O6 O 0.1055 0.8485 0.9830 1
O7 O 0.2548 0.2253 0.7262 1
O8 O 0.2548 0.2747 0.2262 1
O9 O 0.2980 0.0721 0.5231 1
O10 O 0.2980 0.4279 0.0231 1
O11 O 0.3531 0.5446 0.6612 1
O12 O 0.3531 0.9554 0.1612 1
O13 O 0.4126 0.5964 0.3446 1
O14 O 0.4126 0.9036 0.8446 1
O15 O 0.4215 0.7264 0.5891 1
O16 O 0.4215 0.7736 0.0891 1
O17 O 0.5785 0.2264 0.9109 1
O18 O 0.5785 0.2736 0.4109 1
O19 O 0.5874 0.0964 0.1554 1
O20 O 0.5874 0.4036 0.6554 1
O21 O 0.6469 0.0446 0.8388 1
O22 O 0.6469 0.4554 0.3388 1
O23 O 0.7020 0.5721 0.9769 1
O24 O 0.7020 0.9279 0.4769 1
O25 O 0.7452 0.7253 0.7738 1
O26 O 0.7452 0.7747 0.2738 1
O27 O 0.8945 0.1515 0.0170 1
O28 O 0.8945 0.3485 0.5170 1
O29 O 0.9134 0.5591 0.7217 1
O30 O 0.9134 0.9409 0.2217 1
O31 O 0.9793 0.1640 0.5126 1
O32 O 0.9793 0.3360 0.0126 1

No. 4
# NaP2HO | Alexandria via LeMat-Bulk | PBE-GGA | relaxed
# energy above the lowest structure with this stoichiometry	1371	meV/atom
data_NaP2HO
_chemical_formula_sum 'Na1 P2 H1 O1'
_symmetry_space_group_name_H-M 'P 1'
_symmetry_Int_Tables_number 1
_cell_length_a 4.9435
_cell_length_b 4.9435
_cell_length_c 4.1010
_cell_angle_alpha 90.00
_cell_angle_beta 90.00
_cell_angle_gamma 90.00
loop_
_symmetry_equiv_pos_as_xyz
'x,y,z'
loop_
_atom_site_label
_atom_site_type_symbol
_atom_site_fract_x
_atom_site_fract_y
_atom_site_fract_z
_atom_site_occupancy
Na1 Na 0.0000 0.0000 0.0000 1
P1 P 0.0000 0.5000 0.0000 1
P2 P 0.5000 0.0000 0.0000 1
H1 H 0.5000 0.5000 0.5000 1
O1 O 0.0000 0.0000 0.5000 1

| no. | N(E_F) (states/eV/cell) |
| --- | --- |
| 1 | 4.72 |
| 2 | 0.00 |
| 3 | 0.00 |
| 4 | 3.71 |